Entry 1:
First-principles (PBE) data for a geometry-optimized DyTl2 structure, as listed in the Open Quantum Materials Database.

Structure (extended XYZ):
```
6
Lattice="0.0000 6.8755 6.8755 6.8755 0.0000 6.8755 6.8755 6.8755 0.0000" Properties=species:S:1:pos:R:3 pbc="T T T"
Dy 1.7189 1.7189 1.7189
Dy 12.0322 12.0322 12.0322
Tl 0.0000 0.0000 0.0000
Tl 3.4378 3.4378 0.0000
Tl 3.4378 0.0000 3.4378
Tl 0.0000 3.4378 3.4378
```

Calculated values
- Density: 2.9 Mg/m³
- E: -11.55 eV for the cell shown

Entry 2:
First-principles (PBE) data for a geometry-optimized HoTaCo structure, as listed in the Open Quantum Materials Database.

Structure (extended XYZ):
```
3
Lattice="0.0000 3.1348 3.1348 3.1348 0.0000 3.1348 3.1348 3.1348 0.0000" Properties=species:S:1:pos:R:3 pbc="T T T"
Ho 0.0000 0.0000 0.0000
Ta 1.5674 1.5674 1.5674
Co 4.7023 4.7023 4.7023
```

Calculated values
- Density: 10.9 Mg/m³
- E: -19.04 eV for the cell shown
- Energy of formation from the pure elements: 1499.7 meV/atom

Entry 3:
First-principles (PBE) data for a geometry-optimized TlPdAuSeS2 structure, as listed in the Open Quantum Materials Database.

Structure (extended XYZ):
```
12
Lattice="1.8561 -6.9965 0.0000 1.8561 6.9965 0.0000 0.0000 0.0000 10.5377" Properties=species:S:1:pos:R:3 pbc="T T T"
Tl 1.8561 4.1349 7.9033
Tl 1.8561 -4.1349 2.6344
Pd 1.8561 0.0000 0.0000
Pd 1.8561 0.0000 5.2689
Au 1.8561 5.2273 2.6344
Au 1.8561 -5.2273 7.9033
Se 1.8561 0.5440 2.6344
Se 1.8561 -0.5440 7.9033
S 1.8561 5.4478 0.2688
S 1.8561 5.4478 5.0001
S 1.8561 -5.4478 5.5376
S 1.8561 -5.4478 10.2690
```

Calculated values
- Density: 7.9 Mg/m³
- E: -46.96 eV for the cell shown

Entry 4:
First-principles (PBE) data for a geometry-optimized SrPmGa4 structure, as listed in the Open Quantum Materials Database.

Structure (extended XYZ):
```
6
Lattice="4.3014 0.0000 0.0000 -2.1507 3.7251 0.0000 0.0000 0.0000 8.9685" Properties=species:S:1:pos:R:3 pbc="T T T"
Sr 0.0000 0.0000 0.0000
Pm 0.0000 0.0000 4.4842
Ga 0.0000 2.4834 2.4255
Ga 0.0000 2.4834 6.5430
Ga 2.1507 1.2417 2.4255
Ga 2.1507 1.2417 6.5430
```

Calculated values
- Density: 5.9 Mg/m³
- E: -22.11 eV for the cell shown

Entry 5:
First-principles (PBE) data for a geometry-optimized Co15As structure, as listed in the Open Quantum Materials Database.

Structure (extended XYZ):
```
32
Lattice="4.9362 0.0000 0.0000 0.0000 2.4938 0.0000 -0.0004 0.0000 40.8980" Properties=species:S:1:pos:R:3 pbc="T T T"
Co 0.0000 0.0000 0.0000
Co 0.0010 0.0000 3.4283
Co 0.0005 0.0000 6.9246
Co 4.9359 0.0000 10.4078
Co 4.9356 0.0000 13.8681
Co 0.0000 0.0000 30.4846
Co -0.0001 0.0000 33.9186
Co -0.0001 0.0000 37.4154
Co 1.2202 1.2469 32.2086
Co 1.2337 1.2469 1.7658
Co 1.2341 1.2469 5.1954
Co 1.2342 1.2469 8.6831
Co 1.2342 1.2469 12.1681
Co 1.2342 1.2469 15.6273
Co 1.2327 1.2469 39.1678
Co 1.2363 1.2469 35.6821
Co 2.4686 0.0000 0.0011
Co 2.4677 0.0000 3.4277
Co 2.4680 0.0000 6.9253
Co 2.4688 0.0000 10.4078
Co 2.4689 0.0000 13.8682
Co 2.4680 0.0000 33.9515
Co 2.4680 0.0000 37.4134
Co 3.7030 1.2469 1.7668
Co 3.7025 1.2469 5.1963
Co 3.7024 1.2469 8.6803
Co 3.7023 1.2469 12.1678
Co 3.6997 1.2469 35.6821
Co 3.7032 1.2469 39.1674
Co 3.7158 1.2469 32.2086
As 2.4681 0.0000 30.3594
As 3.7023 1.2469 15.7259
```

Calculated values
- Density: 6.3 Mg/m³
- E: -219.85 eV for the cell shown
- Excess energy over the best structure of this formula in the dataset: 34.2 meV/atom

Entry 6:
First-principles (PBE) data for a geometry-optimized DyErGe structure, as listed in the Open Quantum Materials Database.

Structure (extended XYZ):
```
3
Lattice="0.0000 3.4311 3.4311 3.4311 0.0000 3.4311 3.4311 3.4311 0.0000" Properties=species:S:1:pos:R:3 pbc="T T T"
Dy 0.0000 0.0000 0.0000
Er 3.4311 3.4311 3.4311
Ge 1.7155 1.7155 1.7155
```

Calculated values
- Density: 8.3 Mg/m³
- E: -15.37 eV for the cell shown
- Excess energy over the best structure of this formula in the dataset: 101.3 meV/atom

Entry 7:
First-principles (PBE) data for a geometry-optimized SmB structure, as listed in the Open Quantum Materials Database.

Structure (extended XYZ):
```
2
Lattice="0.0000 2.7480 2.7480 2.7480 0.0000 2.7480 2.7480 2.7480 0.0000" Properties=species:S:1:pos:R:3 pbc="T T T"
Sm 0.0000 0.0000 0.0000
B 2.7480 2.7480 2.7480
```

Calculated values
- Density: 6.4 Mg/m³
- E: -10.50 eV for the cell shown
- Excess energy over the best structure of this formula in the dataset: 0.0 meV/atom

Entry 8:
First-principles (PBE) data for a geometry-optimized LiYHgO3 structure, as listed in the Open Quantum Materials Database.

Structure (extended XYZ):
```
12
Lattice="1.6967 -4.9910 0.0000 1.6967 4.9910 0.0000 0.0000 0.0000 8.9432" Properties=species:S:1:pos:R:3 pbc="T T T"
Li 1.6967 4.7710 6.7074
Li 1.6967 -4.7710 2.2358
Y 1.6967 0.0000 0.0000
Y 1.6967 0.0000 4.4716
Hg 1.6967 2.4694 2.2358
Hg 1.6967 -2.4694 6.7074
O 1.6967 3.7081 5.2025
O 1.6967 3.7081 8.2123
O 1.6967 0.7570 6.7074
O 1.6967 -0.7570 2.2358
O 1.6967 -3.7081 0.7309
O 1.6967 -3.7081 3.7407
```

Calculated values
- Density: 7.6 Mg/m³
- E: -68.97 eV for the cell shown

Entry 9:
First-principles (PBE) data for a geometry-optimized RbIrPdSe3 structure, as listed in the Open Quantum Materials Database.

Structure (extended XYZ):
```
12
Lattice="8.4356 0.0000 0.0000 0.0000 3.8986 0.0000 -3.2299 0.0000 9.2536" Properties=species:S:1:pos:R:3 pbc="T T T"
Rb 1.0547 0.9747 2.4416
Rb 4.1510 2.9240 6.8120
Ir -0.0017 2.9240 7.9299
Ir 5.2074 0.9747 1.3238
Pd -1.1102 0.9747 5.3965
Pd 6.3159 2.9240 3.8571
Se -1.6287 0.9747 7.9760
Se 0.3744 2.9240 5.4321
Se 3.5893 2.9240 1.1673
Se 1.6164 0.9747 8.0863
Se 4.8313 0.9747 3.8215
Se 6.8344 2.9240 1.2776
```

Calculated values
- Density: 6.8 Mg/m³
- E: -56.39 eV for the cell shown

Entry 10:
First-principles (PBE) data for a geometry-optimized UPaGa structure, as listed in the Open Quantum Materials Database.

Structure (extended XYZ):
```
3
Lattice="0.0000 3.3630 3.3630 3.3630 0.0000 3.3630 3.3630 3.3630 0.0000" Properties=species:S:1:pos:R:3 pbc="T T T"
U 0.0000 0.0000 0.0000
Pa 3.3630 3.3630 3.3630
Ga 5.0446 5.0446 5.0446
```

Calculated values
- Density: 11.8 Mg/m³
- E: -22.23 eV for the cell shown
- Excess energy over the best structure of this formula in the dataset: 0.0 meV/atom

Entry 11:
First-principles (PBE) data for a geometry-optimized SmTlGe structure, as listed in the Open Quantum Materials Database.

Structure (extended XYZ):
```
3
Lattice="0.0000 3.5637 3.5637 3.5637 0.0000 3.5637 3.5637 3.5637 0.0000" Properties=species:S:1:pos:R:3 pbc="T T T"
Sm 0.0000 0.0000 0.0000
Tl 1.7818 1.7818 1.7818
Ge 5.3455 5.3455 5.3455
```

Calculated values
- Density: 7.8 Mg/m³
- E: -12.03 eV for the cell shown
- Excess energy over the best structure of this formula in the dataset: 0.0 meV/atom

Entry 12:
First-principles (PBE) data for a geometry-optimized Li2ZnPt structure, as listed in the Open Quantum Materials Database.

Structure (extended XYZ):
```
4
Lattice="-2.1279 2.1279 3.0353 2.1279 -2.1279 3.0353 2.1279 2.1279 -3.0353" Properties=species:S:1:pos:R:3 pbc="T T T"
Li 0.0000 0.0000 0.0000
Li 0.0000 2.1279 1.5177
Zn 2.1279 0.0000 1.5177
Pt 0.0000 0.0000 3.0353
```

Calculated values
- Density: 8.3 Mg/m³
- E: -13.33 eV for the cell shown